HoTaTc2 PBE-GGA relaxed; space group = P4/mmm (123); crystal system = tetragonal; size of the total moment = 0.00 Bohr magnetons per cell; ρ = 12.5 g cm⁻³; formation energy from the elements = -0.176 eV/atom
1.0
3.2604 0.0000 0.0000
0.0000 3.2604 0.0000
0.0000 0.0000 6.7515
Tc Ho Ta
2 1 1
direct
0.0000 0.0000 0.7776
0.0000 0.0000 0.2224
0.5000 0.5000 0.5000
0.5000 0.5000 0.0000

***

Sm2Tm3PuTe6 PBE-GGA relaxed; space group = C2/m (12); crystal system = monoclinic; size of the total moment = 6.16 Bohr magnetons per cell; ρ = 8.5 g cm⁻³; formation energy from raw total energies = -1.25 eV per atom
1.0
4.3340 0.0000 0.0000
0.0000 8.8069 0.2494
-2.1670 -2.6065 9.1978
Sm Tm Pu Te
2 3 1 6
direct
0.8339 0.6670 0.6677
0.1661 0.3330 0.3323
0.5000 0.5000 0.0000
0.8327 0.1644 0.6654
0.1673 0.8356 0.3346
0.5000 0.0000 0.0000
0.3312 0.9227 0.6625
0.6641 0.5912 0.3282
0.6688 0.0773 0.3375
0.9970 0.2551 0.9940
0.0030 0.7449 0.0060
0.3359 0.4088 0.6718

***

Rb2SrAlCr PBE-GGA relaxed; space group = P4/mmm (123); crystal system = tetragonal; size of the total moment = 5.16 Bohr magnetons per cell; ρ = 1.6 g cm⁻³; formation energy from the elements = 1.237 eV/atom
1.0
7.6122 0.0000 0.0000
0.0000 6.0026 0.0000
0.0000 0.0000 7.6122
Sr Al Rb Cr
1 1 2 1
direct
0.0000 0.0000 0.0000
0.0000 0.5000 0.0000
0.0000 0.0000 0.5000
0.5000 0.0000 0.0000
0.5000 0.5000 0.5000

***

YZnCl2 PBE-GGA relaxed; space group = Immm (71); crystal system = orthorhombic; size of the total moment = 0.00 Bohr magnetons per cell; ρ = 2.9 g cm⁻³; formation energy from raw total energies = -1.19 eV per atom; energy relative to the lowest polymorph listed for this composition = 20 meV per atom
1.0
7.4232 0.2410 -0.0181
4.4757 5.9271 0.0181
-5.4162 -4.1126 2.9854
Y Zn Cl
1 1 2
direct
0.7500 0.2500 0.5000
0.2500 0.7500 0.5000
0.8975 0.8975 0.0000
0.6025 0.6025 0.0000

***

LaNd14Er PBE-GGA relaxed; space group = Amm2 (38); crystal system = orthorhombic; size of the total moment = 0.00 Bohr magnetons per cell; ρ = 6.9 g cm⁻³; formation energy from the elements = 0.013 eV/atom
1.0
7.2848 0.9779 0.0000
-0.9769 7.2850 0.0000
0.0000 0.0000 10.3981
La Nd Er
1 14 1
direct
0.8754 0.1246 0.0000
0.3751 0.6249 0.5000
0.8747 0.1253 0.5000
0.8748 0.6246 0.0000
0.8752 0.6254 0.5000
0.3754 0.1252 0.0000
0.3746 0.1248 0.5000
0.6232 0.8731 0.7510
0.6232 0.8731 0.2490
0.1269 0.3768 0.7510
0.1269 0.3768 0.2490
0.1267 0.8733 0.7511
0.1267 0.8733 0.2489
0.6233 0.3767 0.7510
0.6233 0.3767 0.2490
0.3749 0.6251 0.0000

***

SrBeNi PBE-GGA relaxed; space group = F-43m (216); crystal system = cubic; size of the total moment = 0.00 Bohr magnetons per cell; ρ = 3.3 g cm⁻³; energy relative to the lowest polymorph listed for this composition = 1279 meV per atom; formation energy from the elements = 1.191 eV/atom
1.0
4.7786 0.0000 0.0000
2.3893 4.1384 0.0000
2.3893 1.3795 3.9017
Sr Be Ni
1 1 1
direct
0.2500 0.2500 0.2500
0.0000 0.0000 0.0000
0.5000 0.5000 0.5000

***

FeSi PBE-GGA relaxed; space group = Imma (74); crystal system = orthorhombic; size of the total moment = 1.12 Bohr magnetons per cell; ρ = 6.3 g cm⁻³; formation energy from raw total energies = -0.27 eV per atom
1.0
-1.4879 2.1616 -4.0807
-1.1635 -2.4938 -3.9957
-0.8320 0.7330 4.7232
Fe Si
2 2
direct
0.3680 0.6180 0.2500
0.6320 0.3820 0.7500
0.8649 0.1149 0.2500
0.1351 0.8851 0.7500

***

SrTaHg2 PBE-GGA relaxed; space group = I-42d (122); crystal system = tetragonal; size of the total moment = 0.00 Bohr magnetons per cell; ρ = 8.6 g cm⁻³; formation energy from the elements = 0.672 eV/atom
1.0
5.3269 0.0000 0.0000
0.0000 5.3269 0.0000
2.6634 2.6634 9.0648
Sr Hg Ta
2 4 2
direct
0.5000 0.5000 0.0000
0.2500 0.7500 0.5000
0.7191 0.1250 0.2500
0.0309 0.6250 0.2500
0.3750 0.2809 0.7500
0.8750 0.9691 0.7500
0.0000 0.0000 0.0000
0.7500 0.2500 0.5000

***

PrIn3Se6 PBE-GGA relaxed; space group = P2_1/m (11); crystal system = monoclinic; size of the total moment = 0.00 Bohr magnetons per cell; ρ = 6.0 g cm⁻³; formation energy from raw total energies = -0.83 eV per atom
1.0
4.1245 0.0000 0.0000
0.0000 11.1729 -4.3183
0.0000 -0.2516 11.5645
Pr In Se
2 6 12
direct
0.7500 0.0545 0.7075
0.2500 0.9455 0.2925
0.7500 0.4447 0.8332
0.2500 0.5553 0.1668
0.7500 0.7046 0.4766
0.2500 0.2954 0.5234
0.7500 0.1698 0.0997
0.2500 0.8302 0.9003
0.7500 0.4538 0.6030
0.2500 0.5462 0.3970
0.7500 0.9285 0.0852
0.2500 0.0715 0.9148
0.7500 0.3948 0.0593
0.2500 0.6052 0.9407
0.7500 0.7398 0.2570
0.2500 0.2602 0.7430
0.7500 0.1040 0.4658
0.2500 0.8960 0.5342
0.7500 0.7979 0.7367
0.2500 0.2021 0.2633

***

Ba2CaNpO6 PBE-GGA relaxed; space group = P2_1/c (14); crystal system = monoclinic; size of the total moment = 2.00 Bohr magnetons per cell; ρ = 6.5 g cm⁻³; formation energy from raw total energies = -3.01 eV per atom
1.0
-4.2989 4.4289 -0.5725
-1.9608 -2.5817 -5.2483
-5.6127 -4.9073 4.5109
Ba Ca Np O
4 2 2 12
direct
0.0054 0.9819 0.2501
0.5054 0.5181 0.7501
0.9946 0.0181 0.7499
0.4946 0.4819 0.2499
0.5000 0.0000 0.0000
0.0000 0.5000 0.5000
0.5000 0.0000 0.5000
0.0000 0.5000 0.0000
0.2551 0.7142 0.0348
0.7551 0.7858 0.5348
0.7449 0.2858 0.9652
0.2449 0.2142 0.4652
0.2879 0.7423 0.4622
0.7879 0.7577 0.9622
0.7121 0.2577 0.5378
0.2121 0.2423 0.0378
0.9325 0.5120 0.2339
0.4325 0.9880 0.7339
0.0675 0.4880 0.7661
0.5675 0.0120 0.2661

***

Hf2ZnSiSb PBE-GGA relaxed; space group = P4/mmm (123); crystal system = tetragonal; size of the total moment = 0.00 Bohr magnetons per cell; ρ = 7.1 g cm⁻³; formation energy from raw total energies = 1.10 eV per atom
1.0
-1.2252 -3.5581 3.7344
4.3858 -1.7685 -0.2460
1.5795 3.3951 3.7530
Sb Zn Hf Si
1 1 2 1
direct
0.0000 0.0000 0.0000
0.0000 0.5000 0.0000
0.0000 0.0000 0.5000
0.5000 0.0000 0.0000
0.5000 0.5000 0.5000

***

TaReCl2 PBE-GGA relaxed; space group = Imm2 (44); crystal system = orthorhombic; size of the total moment = 1.24 Bohr magnetons per cell; ρ = 8.4 g cm⁻³; formation energy from raw total energies = 0.52 eV per atom; energy relative to the lowest polymorph listed for this composition = 1015 meV per atom
1.0
-4.5127 -0.5235 -4.4629
-0.7295 -4.9408 -3.9513
0.1932 2.5771 5.8204
Re Cl Ta
1 2 1
direct
0.4344 0.4344 0.0000
0.0629 0.0629 0.0000
0.7361 0.2361 0.5000
0.2666 0.7666 0.5000

***

ScAg2Au PBE-GGA relaxed; space group = Fm-3m (225); crystal system = cubic; size of the total moment = 0.00 Bohr magnetons per cell; ρ = 10.2 g cm⁻³; energy relative to the lowest polymorph listed for this composition = 80 meV per atom; formation energy from the elements = -0.288 eV/atom
1.0
0.0000 3.3367 3.3367
3.3367 0.0000 3.3367
3.3367 3.3367 0.0000
Sc Au Ag
1 1 2
direct
0.0000 0.0000 0.0000
0.5000 0.5000 0.5000
0.2500 0.2500 0.2500
0.7500 0.7500 0.7500

***

SrMn2CdMo PBE-GGA relaxed; space group = P4/mmm (123); crystal system = tetragonal; size of the total moment = 0.10 Bohr magnetons per cell; ρ = 5.6 g cm⁻³; formation energy from the elements = 2.072 eV/atom
1.0
-0.0092 1.7358 4.5302
-4.0390 -2.9076 1.1059
2.9603 -3.5871 1.3804
Sr Mo Mn Cd
1 1 2 1
direct
0.5000 0.5000 0.5000
0.0000 0.5000 0.0000
0.0000 0.0000 0.5000
0.5000 0.0000 0.0000
0.0000 0.0000 0.0000

***

GdLuSb PBE-GGA relaxed; space group = P3m1 (156); crystal system = trigonal; size of the total moment = 7.24 Bohr magnetons per cell; ρ = 8.7 g cm⁻³; formation energy from raw total energies = -0.43 eV per atom; energy relative to the lowest polymorph listed for this composition = 203 meV per atom
1.0
3.9785 0.0000 0.0000
0.0000 5.0276 0.0000
0.0000 -2.5138 4.3540
Gd Sb Lu
1 1 1
direct
0.6269 0.6667 0.3333
0.2732 0.3333 0.6667
0.0999 0.0000 0.0000

***

YMnW2 PBE-GGA relaxed; space group = F-43m (216); crystal system = cubic; size of the total moment = 2.12 Bohr magnetons per cell; ρ = 12.2 g cm⁻³; energy relative to the lowest polymorph listed for this composition = 129 meV per atom; formation energy from the elements = 0.465 eV/atom
1.0
-1.1768 0.7183 4.4126
-3.3081 -2.5684 1.9576
1.1031 -3.1239 3.2244
Mn W Y
1 2 1
direct
0.5000 0.5000 0.5000
0.0000 0.0000 0.0000
0.2500 0.2500 0.2500
0.7500 0.7500 0.7500

***

Pr5Hg2Te2 PBE-GGA relaxed; space group = Cmce (64); crystal system = orthorhombic; size of the total moment = 0.00 Bohr magnetons per cell; ρ = 8.0 g cm⁻³; formation energy from raw total energies = -0.84 eV per atom
1.0
8.2108 0.0000 0.0000
0.0000 7.5234 -3.8675
0.0000 -0.0317 9.1895
Pr Hg Te
10 4 4
direct
0.0000 0.0000 0.0000
0.5000 0.5000 0.0000
0.8404 0.8058 0.2741
0.1596 0.4683 0.2741
0.3404 0.9683 0.2741
0.6596 0.3058 0.2741
0.1596 0.1942 0.7259
0.8404 0.5317 0.7259
0.6596 0.0317 0.7259
0.3404 0.6942 0.7259
0.6270 0.8668 0.0000
0.3730 0.1332 0.0000
0.1270 0.6332 0.0000
0.8730 0.3668 0.0000
0.0000 0.1991 0.3983
0.5000 0.6991 0.3983
0.0000 0.8009 0.6017
0.5000 0.3009 0.6017

***

InPbO2F PBE-GGA relaxed; space group = P2_1/m (11); crystal system = monoclinic; size of the total moment = 0.00 Bohr magnetons per cell; ρ = 7.1 g cm⁻³; formation energy from raw total energies = -1.65 eV per atom
1.0
-0.5406 -3.9623 -0.7284
-1.4500 -0.7257 5.0235
-7.7241 1.4571 -2.1938
In Pb O F
2 2 4 2
direct
0.2500 0.3559 0.1265
0.7500 0.6441 0.8735
0.2500 0.2623 0.6217
0.7500 0.7377 0.3783
0.7500 0.5029 0.6274
0.2500 0.4971 0.3726
0.7500 0.4991 0.1208
0.2500 0.5009 0.8792
0.2500 0.9679 0.1533
0.7500 0.0321 0.8467

***

CePr2Dy3P6 PBE-GGA relaxed; space group = C2/m (12); crystal system = monoclinic; size of the total moment = 0.43 Bohr magnetons per cell; ρ = 6.3 g cm⁻³; formation energy from the elements = -1.561 eV/atom
1.0
4.0892 0.0000 0.0000
0.0000 8.1671 0.3028
-2.0446 -2.3426 8.5759
Ce Pr Dy P
1 2 3 6
direct
0.5000 0.0000 0.0000
0.8331 0.6654 0.6663
0.1669 0.3346 0.3337
0.5000 0.5000 0.0000
0.8325 0.1667 0.6649
0.1675 0.8333 0.3351
0.3339 0.9251 0.6677
0.6638 0.5905 0.3276
0.6661 0.0749 0.3323
0.9971 0.2490 0.9942
0.0029 0.7510 0.0058
0.3362 0.4095 0.6724

***

Dy4ScTl PBE-GGA relaxed; space group = Cm (8); crystal system = monoclinic; size of the total moment = 0.00 Bohr magnetons per cell; ρ = 8.4 g cm⁻³; energy relative to the lowest polymorph listed for this composition = 0 meV per atom; formation energy from the elements = -0.034 eV/atom
1.0
-3.1592 1.1121 -0.9590
-1.0827 -4.8914 4.2132
1.9403 8.4421 3.4141
Dy Sc Tl
4 1 1
direct
0.6238 0.2482 0.7826
0.3965 0.7927 0.0681
0.1106 0.2215 0.4336
0.8672 0.7340 0.7216
0.3717 0.7433 0.4081
0.1302 0.2602 0.0859

***

GaHI PBE-GGA relaxed; space group = I4mm (107); crystal system = tetragonal; size of the total moment = 0.00 Bohr magnetons per cell; ρ = 4.6 g cm⁻³; energy relative to the lowest polymorph listed for this composition = 308 meV per atom
1.0
-1.8758 1.7599 -3.7063
-4.0195 -1.6055 1.2719
2.3019 2.9292 2.9715
I H Ga
1 1 1
direct
0.2451 0.2451 0.4903
0.9220 0.9220 0.8440
0.6829 0.6829 0.3657

***

NaLiHAu2 PBE-GGA relaxed; space group = P4/mmm (123); crystal system = tetragonal; size of the total moment = 0.00 Bohr magnetons per cell; ρ = 9.3 g cm⁻³
1.0
4.2578 0.0000 0.0000
0.0000 4.2578 0.0000
0.0000 0.0000 4.1765
Na Au H Li
1 2 1 1
direct
0.5000 0.5000 0.5000
0.0000 0.5000 0.0000
0.5000 0.0000 0.0000
0.0000 0.0000 0.0000
0.0000 0.0000 0.5000

***

PrSm8Dy2 PBE-GGA relaxed; space group = C2/m (12); crystal system = monoclinic; size of the total moment = 0.00 Bohr magnetons per cell; ρ = 7.4 g cm⁻³; energy relative to the lowest polymorph listed for this composition = 24 meV per atom; formation energy from the elements = 0.166 eV/atom
1.0
6.3214 1.8239 1.3839
2.1718 9.6903 3.1091
2.1718 5.6035 8.4953
Pr Sm Dy
1 8 2
direct
0.0000 0.0000 0.0000
0.2314 0.3530 0.8260
0.7686 0.1740 0.6470
0.1765 0.7562 0.7562
0.8235 0.2438 0.2438
0.2314 0.8260 0.3530
0.7686 0.6470 0.1740
0.7283 0.5910 0.5910
0.2717 0.4090 0.4090
0.6057 0.7961 0.7961
0.3943 0.2039 0.2039

***

NaAcLaDy PBE-GGA relaxed; space group = F-43m (216); crystal system = cubic; size of the total moment = 0.02 Bohr magnetons per cell; ρ = 6.2 g cm⁻³; formation energy from the elements = 0.227 eV/atom
1.0
-2.4246 4.1171 3.5302
-5.8812 0.8387 -0.0189
-3.2508 -1.6503 4.6905
Na Ac La Dy
1 1 1 1
direct
0.7500 0.7500 0.7500
0.5000 0.5000 0.5000
0.0000 0.0000 0.0000
0.2500 0.2500 0.2500

***

SmMgCu2Si2 PBE-GGA relaxed; space group = P-3m1 (164); crystal system = trigonal; size of the total moment = 0.00 Bohr magnetons per cell; ρ = 5.8 g cm⁻³; formation energy from raw total energies = -0.46 eV per atom
1.0
-2.0758 2.5827 2.4875
2.2576 -3.0719 1.6228
5.4916 4.1698 0.2534
Sm Mg Cu Si
1 1 2 2
direct
0.0000 0.0000 0.0000
0.0000 0.0000 0.5000
0.3333 0.6667 0.6884
0.6667 0.3333 0.3116
0.3333 0.6667 0.2708
0.6667 0.3333 0.7292

***

Final energy values (in eV per atom) by entry order: -9.467, -5.919, -2.160, -4.052, -4.752, -2.539, -7.218, -2.863, -4.215, -7.863, -5.048, -6.483, -4.116, -4.281, -8.009, -9.920, -4.261, -5.302, -6.707, -4.551, -2.498, -2.751, -4.537, -3.512, -4.686.